No. 1
The following is a PBE-GGA calculation of a relaxed structure of Na4Zr3CrTe8, from Alexandria.

Values from the calculation:
Total moment (μB per atom): 0.27
Symmetry: No. 166
Energy (eV/f.u.): -78.43
Formation energy (no corrections) (eV per atom): -0.80

Unit cell a=9.0424 b=9.0424 c=9.0424 alpha=54.51 beta=54.51 gamma=54.51
Sites, in units of the cell vectors:
1 Na 0.0000 0.0000 0.0000
2 Na 0.0000 0.5000 0.5000
3 Na 0.5000 0.0000 0.5000
4 Na 0.5000 0.5000 0.0000
5 Zr 0.0000 0.0000 0.5000
6 Zr 0.0000 0.5000 0.0000
7 Zr 0.5000 0.0000 0.0000
8 Cr 0.5000 0.5000 0.5000
9 Te 0.2422 0.2422 0.2422
10 Te 0.2476 0.7353 0.7353
11 Te 0.2647 0.2647 0.7524
12 Te 0.2647 0.7524 0.2647
13 Te 0.7353 0.2476 0.7353
14 Te 0.7353 0.7353 0.2476
15 Te 0.7524 0.2647 0.2647
16 Te 0.7578 0.7578 0.7578

No. 2
The following is a PBE-GGA calculation of a relaxed structure of Hf3TaSn2, from Alexandria.

Values from the calculation:
Total moment (μB per atom): 0.00
Energy relative to the elements (eV per atom): -0.1446
Symmetry: No. 15
Energy (eV/f.u.): -50.59

Unit cell a=7.6826 b=7.6826 c=6.3947 alpha=102.07 beta=102.07 gamma=46.06
Sites, in units of the cell vectors:
1 Hf 0.2473 0.7527 0.7500
2 Hf 0.3218 0.3390 0.4134
3 Hf 0.3390 0.3218 0.9134
4 Hf 0.6610 0.6782 0.0866
5 Hf 0.6782 0.6610 0.5866
6 Hf 0.7527 0.2473 0.2500
7 Ta 0.2923 0.7077 0.2500
8 Ta 0.7077 0.2923 0.7500
9 Sn 0.1391 0.1515 0.0702
10 Sn 0.1515 0.1391 0.5702
11 Sn 0.8485 0.8609 0.4298
12 Sn 0.8609 0.8485 0.9298

No. 3
The following is a PBE-GGA calculation of a relaxed structure of Ba2Tl2I, from Alexandria.

Values from the calculation:
Total moment (μB per atom): 0.00
Symmetry: No. 166
Energy (eV/f.u.): -14.18
Formation energy (no corrections) (eV per atom): -0.81

Unit cell a=9.6875 b=9.6875 c=9.6875 alpha=30.59 beta=30.59 gamma=30.59
Sites, in units of the cell vectors:
1 Ba 0.0840 0.0840 0.0840
2 Ba 0.9160 0.9160 0.9160
3 Tl 0.3187 0.3187 0.3187
4 Tl 0.6813 0.6813 0.6813
5 I 0.5000 0.5000 0.5000